[1]
Compound: BeAuNF2
Source: the Alexandria database
Functional: PBE-GGA
Structure: relaxed

Unit cell a=4.614 b=4.614 c=3.765 alpha=90.00 beta=90.00 gamma=90.00
Space group P4/mmm (No. 123)
Asymmetric unit:
Be: 0.000 0.000 0.000
Au: 0.500 0.500 0.500
N: 0.500 0.500 0.000
F: 0.000 0.500 0.500

Output
ΔE_f (raw) ... 0.635 eV per atom
Density of states at the Fermi level ... 2.3 states/eV/cell
Total moment ... 1.00 Bohr magnetons per cell

---

[2]
Compound: BeAuN2F
Source: the Alexandria database
Functional: PBE-GGA
Structure: relaxed

Unit cell a=3.928 b=3.928 c=4.991 alpha=90.00 beta=90.00 gamma=90.00
Space group P4/mmm (No. 123)
Asymmetric unit:
Be: 0.000 0.000 0.000
Au: 0.500 0.500 0.500
N: 0.000 0.500 0.500
F: 0.500 0.500 0.000

Output
ΔE_f (raw) ... 1.624 eV per atom
Density of states at the Fermi level ... 1.2 states/eV/cell
Total moment ... 2.22 Bohr magnetons per cell

---

[3]
Compound: BeAuN2F
Source: the Alexandria database
Functional: PBE-GGA
Structure: relaxed

Unit cell a=3.782 b=3.782 c=3.313 alpha=90.00 beta=90.00 gamma=90.00
Space group P4/mmm (No. 123)
Asymmetric unit:
Be: 0.000 0.000 0.000
Au: 0.500 0.500 0.500
N: 0.000 0.500 0.000
F: 0.000 0.000 0.500

Output
ΔE_f (raw) ... 0.630 eV per atom
Density of states at the Fermi level ... 3.1 states/eV/cell
Total moment ... 0.00 Bohr magnetons per cell

---

[4]
Compound: BeAuNF2
Source: the Alexandria database
Functional: PBE-GGA
Structure: relaxed

Unit cell a=3.170 b=3.170 c=6.502 alpha=90.00 beta=90.00 gamma=90.00
Space group P4/mmm (No. 123)
Asymmetric unit:
Be: 0.000 0.000 0.000
Au: 0.500 0.500 0.500
N: 0.000 0.000 0.500
F: 0.000 0.500 0.000

Output
ΔE_f (raw) ... -0.918 eV per atom
Density of states at the Fermi level ... 1.0 states/eV/cell
Total moment ... 0.84 Bohr magnetons per cell